[1]
{
  "formula": "AlCu3",
  "functional": "PBE-GGA",
  "state": "optimized geometry",
  "total_magnetization_mub_per_cell": 0.00,
  "delta_e_f_ev_per_atom": -0.156,
  "total_energy_ev_per_fu": -16.65,
  "sg": "Imm2, No. 44",
  "cell": [[-2.717, -3.739, 1.671], [2.336, -3.450, 2.607], [-1.302, 4.724, -0.373]],
  "species": ["Cu", "Cu", "Cu", "Al"],
  "frac_coords": [[0.519, 0.500, 0.019], [0.894, 0.249, 0.645], [0.396, 0.751, 0.645], [0.024, 0.000, 0.024]]
}

[2]
{
  "formula": "DyHo8Bi6",
  "functional": "PBE-GGA",
  "state": "optimized geometry",
  "total_magnetization_mub_per_cell": 0.00,
  "delta_e_f_ev_per_atom": -0.495,
  "total_energy_ev_per_fu": -71.93,
  "sg": "R-3, No. 148",
  "cell": [[-0.426, 3.522, 6.730], [2.792, -3.353, 6.231], [9.501, 4.253, 2.675]],
  "species": ["Bi", "Bi", "Bi", "Bi", "Bi", "Bi", "Ho", "Ho", "Ho", "Ho", "Ho", "Ho", "Ho", "Ho", "Dy"],
  "frac_coords": [[0.397, 0.062, 0.813], [0.603, 0.938, 0.187], [0.062, 0.728, 0.813], [0.728, 0.397, 0.813], [0.272, 0.603, 0.187], [0.938, 0.272, 0.187], [0.789, 0.122, 0.635], [0.333, 0.333, 0.000], [0.878, 0.546, 0.365], [0.667, 0.667, 0.000], [0.211, 0.878, 0.365], [0.546, 0.211, 0.365], [0.122, 0.454, 0.635], [0.454, 0.789, 0.635], [0.000, 0.000, 0.000]]
}

[3]
{
  "formula": "CaPm12Pr7",
  "functional": "PBE-GGA",
  "state": "optimized geometry",
  "total_magnetization_mub_per_cell": 0.00,
  "delta_e_f_ev_per_atom": 0.554,
  "total_energy_ev_per_fu": -81.39,
  "sg": "Im-3, No. 204",
  "cell": [[-2.778, 2.309, 9.440], [-7.819, -4.126, -4.899], [7.667, -6.582, 0.259]],
  "species": ["Pr", "Pr", "Pr", "Pr", "Pr", "Pr", "Pr", "Pm", "Pm", "Pm", "Pm", "Pm", "Pm", "Pm", "Pm", "Pm", "Pm", "Pm", "Pm", "Ca"],
  "frac_coords": [[0.000, 0.500, 0.500], [0.500, 0.000, 0.000], [0.000, 0.000, 0.500], [0.000, 0.500, 0.000], [0.500, 0.500, 0.000], [0.500, 0.000, 0.500], [0.500, 0.500, 0.500], [0.746, 0.254, 0.999], [0.746, 0.492, 0.746], [0.492, 0.746, 0.746], [0.508, 0.254, 0.254], [0.254, 0.508, 0.254], [0.001, 0.254, 0.746], [0.254, 0.254, 0.508], [0.999, 0.746, 0.254], [0.254, 0.999, 0.746], [0.254, 0.746, 0.001], [0.746, 0.746, 0.492], [0.746, 0.001, 0.254], [0.000, 0.000, 0.000]]
}